Gd2Cr2C3 at its PBEsol-relaxed geometry, computed with SCAN.

Values from the calculation:
Energy   -186.8 eV/cell
ΔH_f (0 K)   -2.13 eV per formula unit
DOS at the Fermi energy   0.547 states/eV per atom

Cell: 3.3886 5.3974 5.5742 Å, 104.66 90.00 108.30°
With the nearest neighbours (Å) after each atom.
Atoms (fractional coordinates):
Cr 0.1584 0.3168 0.3938  4 C 1.87-1.97
C 0.0000 0.0000 0.5000  2 Cr 1.87
Gd 0.6033 0.2065 0.8181  5 C 2.48-2.71
C 0.2901 0.5803 0.7245  3 Cr 1.94-1.97
Cr 0.8416 0.6832 0.6062  4 C 1.87-1.97
C 0.7099 0.4197 0.2755  3 Cr 1.94-1.97
Gd 0.3967 0.7935 0.1819  5 C 2.48-2.71